The following is a meta-GGA SCAN calculation of Ca2AlPbF9 at its PBEsol-relaxed geometry, from Alexandria via LeMat-Bulk.

- Space group: No. 2
- Uncorrected formation energy: -48.050 eV/f.u.
- Crystal system: triclinic

a = 5.348 Å, b = 5.351 Å, c = 12.136 Å
α = 91.64°, β = 100.92°, γ = 91.82°
Fractional coordinates of all 26 atoms:
Ca (0.041, 0.258, 0.114)
Ca (0.449, 0.234, 0.886)
Ca (0.551, 0.766, 0.114)
Ca (0.959, 0.742, 0.886)
Al (0.203, 0.708, 0.318)
Al (0.797, 0.292, 0.682)
Pb (0.273, 0.780, 0.603)
Pb (0.727, 0.220, 0.397)
F (0.040, 0.909, 0.402)
F (0.086, 0.392, 0.780)
F (0.150, 0.452, 0.406)
F (0.251, 0.011, 0.006)
F (0.252, 0.507, 0.001)
F (0.253, 0.889, 0.790)
F (0.259, 0.952, 0.224)
F (0.372, 0.498, 0.236)
F (0.499, 0.200, 0.591)
F (0.501, 0.800, 0.409)
F (0.628, 0.502, 0.764)
F (0.741, 0.048, 0.776)
F (0.747, 0.111, 0.210)
F (0.748, 0.493, 0.999)
F (0.749, 0.989, 0.994)
F (0.850, 0.548, 0.594)
F (0.914, 0.608, 0.220)
F (0.960, 0.091, 0.598)

The following is a meta-GGA SCAN calculation of Ca2AlFe at its PBEsol-relaxed geometry, from Alexandria via LeMat-Bulk.

- Space group: No. 65
- E_form: 0.222 eV/atom
- Crystal system: orthorhombic

a = 5.102 Å, b = 5.102 Å, c = 3.551 Å
α = 90.00°, β = 90.00°, γ = 90.54°
Fractional coordinates of all 4 atoms:
Ca (0.000, 0.500, 0.000)
Ca (0.500, 0.000, 0.000)
Al (0.000, 0.000, 0.500)
Fe (0.500, 0.500, 0.500)

The following is a meta-GGA SCAN calculation of CaAlFe2 at its PBEsol-relaxed geometry, from Alexandria via LeMat-Bulk.

- Space group: No. 123
- E_form: 0.215 eV/atom
- Crystal system: tetragonal

a = 3.206 Å, b = 3.206 Å, c = 6.290 Å
α = 90.00°, β = 90.00°, γ = 90.00°
Fractional coordinates of all 4 atoms:
Ca (0.000, 0.000, 0.000)
Al (0.000, 0.000, 0.500)
Fe (0.500, 0.500, 0.325)
Fe (0.500, 0.500, 0.675)

Question: Which formula does entry 1 have?
Answer: Ca2AlPbF9